a | {
  "formula": "TaInRe3",
  "functional": "GGA-PBE",
  "state": "relaxed",
  "lattice": [[-1.154, 3.011, -3.558], [-3.907, 1.375, 2.430], [2.542, 3.479, 2.119]],
  "species": ["Re", "Re", "Re", "In", "Ta"],
  "fractional_positions": [[0.000, 0.500, 0.000], [0.000, 0.000, 0.500], [0.500, 0.000, 0.000], [0.500, 0.500, 0.500], [0.000, 0.000, 0.000]],
  "crystal_system": "cubic",
  "spacegroup": "Pm-3m",
  "dos_ef_per_ev_atom": 0.91
}

=====

b | {
  "formula": "TaInRe3",
  "functional": "GGA-PBE",
  "state": "relaxed",
  "lattice": [[-0.102, 1.167, 4.572], [-4.710, -0.308, -0.027], [0.292, -4.563, 1.171]],
  "species": ["Re", "Re", "Re", "In", "Ta"],
  "fractional_positions": [[0.000, 0.500, 0.000], [0.000, 0.000, 0.500], [0.500, 0.000, 0.000], [0.000, 0.000, 0.000], [0.500, 0.500, 0.500]],
  "crystal_system": "cubic",
  "spacegroup": "Pm-3m",
  "dos_ef_per_ev_atom": 2.03
}

=====

It turns out a is the most stable, with the second structure 61.4 kJ/mol of atoms higher.

=====

a | {
  "formula": "InRe2Tc2",
  "functional": "GGA-PBE",
  "state": "relaxed",
  "lattice": [[5.826, 0.451, -1.671], [4.290, -3.696, 2.207], [-5.545, -0.260, -2.474]],
  "species": ["In", "Re", "Re", "Tc", "Tc"],
  "fractional_positions": [[0.000, 0.000, 0.000], [0.617, 0.617, 0.000], [0.383, 0.383, 0.000], [0.250, 0.750, 0.500], [0.750, 0.250, 0.500]],
  "crystal_system": "tetragonal",
  "spacegroup": "I4/mmm",
  "dos_ef_per_ev_atom": 0.70
}

=====

b | {
  "formula": "InRe2Tc2",
  "functional": "GGA-PBE",
  "state": "relaxed",
  "lattice": [[-4.498, -4.103, -4.633], [4.006, -6.296, 1.687], [-1.757, -0.534, 2.179]],
  "species": ["Re", "Re", "Re", "Re", "Tc", "Tc", "Tc", "Tc", "In", "In"],
  "fractional_positions": [[0.153, 0.653, 0.500], [0.653, 0.847, 0.500], [0.847, 0.347, 0.500], [0.347, 0.153, 0.500], [0.366, 0.866, 0.000], [0.866, 0.634, 0.000], [0.634, 0.134, 0.000], [0.134, 0.366, 0.000], [0.000, 0.000, 0.000], [0.500, 0.500, 0.000]],
  "crystal_system": "tetragonal",
  "spacegroup": "P4/mbm",
  "dos_ef_per_ev_atom": 0.72
}

=====

It turns out b is the most stable, with the second structure 10.3 kJ/mol of atoms higher.

=====

a | {
  "formula": "Th3InRe",
  "functional": "GGA-PBE",
  "state": "relaxed",
  "lattice": [[-1.629, -5.106, -0.177], [5.774, -1.667, -5.074], [1.540, -0.772, 8.103]],
  "species": ["Th", "Th", "Th", "Th", "Th", "Th", "In", "In", "Re", "Re"],
  "fractional_positions": [[0.500, 0.305, 0.000], [0.000, 0.872, 0.744], [0.500, 0.695, 0.000], [0.500, 0.500, 0.500], [0.000, 0.128, 0.256], [0.500, 0.000, 0.500], [0.000, 0.630, 0.260], [0.000, 0.370, 0.740], [0.500, 0.108, 0.217], [0.500, 0.892, 0.783]],
  "crystal_system": "orthorhombic",
  "spacegroup": "Cmmm",
  "dos_ef_per_ev_atom": 1.12
}

=====

b | {
  "formula": "Th3InRe",
  "functional": "GGA-PBE",
  "state": "relaxed",
  "lattice": [[-9.534, -2.476, 0.328], [-7.983, 2.587, 3.376], [-3.203, 1.027, -5.100]],
  "species": ["Th", "Th", "Th", "Th", "Th", "Th", "In", "In", "Re", "Re"],
  "fractional_positions": [[0.306, 0.306, 0.694], [0.694, 0.694, 0.306], [0.704, 0.065, 0.935], [0.296, 0.935, 0.065], [0.065, 0.704, 0.296], [0.935, 0.296, 0.704], [0.291, 0.709, 0.709], [0.709, 0.291, 0.291], [0.250, 0.250, 0.250], [0.750, 0.750, 0.750]],
  "crystal_system": "orthorhombic",
  "spacegroup": "Fmmm",
  "dos_ef_per_ev_atom": 0.94
}

=====

It turns out b is the most stable, with the second structure 12.4 kJ/mol of atoms higher.

=====

a | {
  "formula": "TiInRe3",
  "functional": "GGA-PBE",
  "state": "relaxed",
  "lattice": [[-4.266, -1.631, -0.548], [1.386, -2.391, -3.677], [1.019, -3.575, 2.709]],
  "species": ["Re", "Re", "Re", "Ti", "In"],
  "fractional_positions": [[0.000, 0.500, 0.000], [0.000, 0.000, 0.500], [0.500, 0.000, 0.000], [0.000, 0.000, 0.000], [0.500, 0.500, 0.500]],
  "crystal_system": "cubic",
  "spacegroup": "Pm-3m",
  "dos_ef_per_ev_atom": 1.26
}

=====

b | {
  "formula": "TiInRe3",
  "functional": "GGA-PBE",
  "state": "relaxed",
  "lattice": [[4.772, 0.000, 0.000], [0.000, 4.772, 0.000], [0.000, 0.000, 4.772]],
  "species": ["Re", "Re", "Re", "Ti", "In"],
  "fractional_positions": [[0.000, 0.500, 0.000], [0.000, 0.000, 0.500], [0.500, 0.000, 0.000], [0.500, 0.500, 0.500], [0.000, 0.000, 0.000]],
  "crystal_system": "cubic",
  "spacegroup": "Pm-3m",
  "dos_ef_per_ev_atom": 1.45
}

=====

It turns out a is the most stable, with the second structure 94.6 kJ/mol of atoms higher.

=====

a | {
  "formula": "TiIn2Re2",
  "functional": "GGA-PBE",
  "state": "relaxed",
  "lattice": [[-7.212, -1.883, 2.856], [0.706, -7.340, -3.056], [1.236, -0.927, 2.511]],
  "species": ["Re", "Re", "Re", "Re", "Ti", "Ti", "In", "In", "In", "In"],
  "fractional_positions": [[0.109, 0.609, 0.500], [0.609, 0.891, 0.500], [0.891, 0.391, 0.500], [0.391, 0.109, 0.500], [0.000, 0.000, 0.000], [0.500, 0.500, 0.000], [0.317, 0.817, 0.000], [0.817, 0.683, 0.000], [0.683, 0.183, 0.000], [0.183, 0.317, 0.000]],
  "crystal_system": "tetragonal",
  "spacegroup": "P4/mbm",
  "dos_ef_per_ev_atom": 0.97
}

=====

b | {
  "formula": "TiIn2Re2",
  "functional": "GGA-PBE",
  "state": "relaxed",
  "lattice": [[-1.564, -2.672, -1.707], [1.586, -2.307, 2.159], [-6.436, -2.046, 5.436]],
  "species": ["Re", "Re", "Ti", "In", "In"],
  "fractional_positions": [[0.750, 0.250, 0.500], [0.250, 0.750, 0.500], [0.000, 0.000, 0.000], [0.393, 0.393, 0.214], [0.607, 0.607, 0.786]],
  "crystal_system": "tetragonal",
  "spacegroup": "I4/mmm",
  "dos_ef_per_ev_atom": 0.90
}

=====

It turns out a is the most stable, with the second structure 5.5 kJ/mol of atoms higher.

=====

a | {
  "formula": "TlInRe2",
  "functional": "GGA-PBE",
  "state": "relaxed",
  "lattice": [[-1.942, 4.450, 1.706], [0.929, -3.442, 3.712], [2.799, 1.100, 0.319]],
  "species": ["In", "Re", "Re", "Tl"],
  "fractional_positions": [[0.000, 0.500, 0.500], [0.000, 0.000, 0.000], [0.500, 0.500, 0.000], [0.500, 0.000, 0.500]],
  "crystal_system": "orthorhombic",
  "spacegroup": "Cmmm",
  "dos_ef_per_ev_atom": 1.03
}

=====

b | {
  "formula": "TlInRe2",
  "functional": "GGA-PBE",
  "state": "relaxed",
  "lattice": [[-0.488, -2.585, -1.537], [3.007, -0.464, -0.174], [1.262, -4.587, 7.316]],
  "species": ["In", "Re", "Re", "Tl"],
  "fractional_positions": [[0.500, 0.541, 0.796], [0.000, 0.920, 0.037], [0.500, 0.337, 0.202], [0.000, 0.703, 0.465]],
  "crystal_system": "monoclinic",
  "spacegroup": "Pm",
  "dos_ef_per_ev_atom": 0.57
}

=====

c | {
  "formula": "TlInRe2",
  "functional": "GGA-PBE",
  "state": "relaxed",
  "lattice": [[-0.019, 2.281, 1.821], [1.623, -2.555, 3.217], [5.786, 1.456, -1.763]],
  "species": ["In", "Re", "Re", "Tl"],
  "fractional_positions": [[0.500, 0.500, 0.750], [0.000, 0.000, 0.939], [0.000, 0.000, 0.561], [0.500, 0.500, 0.250]],
  "crystal_system": "orthorhombic",
  "spacegroup": "Pmmm",
  "dos_ef_per_ev_atom": 1.04
}

=====

d | {
  "formula": "TlInRe2",
  "functional": "GGA-PBE",
  "state": "relaxed",
  "lattice": [[4.711, 0.000, 0.000], [0.000, 3.162, 0.018], [0.000, -0.071, 5.253]],
  "species": ["In", "Re", "Re", "Tl"],
  "fractional_positions": [[0.500, 0.750, 0.750], [0.000, 0.084, 0.955], [0.000, 0.416, 0.545], [0.500, 0.250, 0.250]],
  "crystal_system": "monoclinic",
  "spacegroup": "P2/m",
  "dos_ef_per_ev_atom": 0.85
}

=====

It turns out b is the most stable, with the second structure 56.1 kJ/mol of atoms higher.